# CeTi2FeN4

Crystalline CeTi2FeN4 at its relaxed geometry (GGA-PBE, the Alexandria database).

Computed properties:
For the total energy, the calculation gives -73.49 eV per formula unit. The density is 6.60 g cm⁻³. The value obtained for the volume is 175.1 Å³ per cell.

Unit cell a=3.117 b=5.569 c=10.504 alpha=90.00 beta=90.00 gamma=106.25
Last column: magnetic moment on the atom in μB.
Element x y z (fractional)
N (0.000, 0.000, 0.000)  0.02
N (0.000, 0.000, 0.500)  0.02
N (0.270, 0.539, 0.388)  0.03
N (0.730, 0.461, 0.612)  0.03
N (0.730, 0.461, 0.888)  0.03
N (0.270, 0.539, 0.112)  0.03
N (0.565, 0.131, 0.250)  0.01
N (0.435, 0.869, 0.750)  0.01
Ti (0.369, 0.738, 0.953)  -0.04
Ti (0.631, 0.262, 0.453)  -0.04
Ti (0.631, 0.262, 0.047)  -0.04
Ti (0.369, 0.738, 0.547)  -0.04
Ce (0.101, 0.203, 0.750)  0.04
Ce (0.899, 0.797, 0.250)  0.04
Fe (0.840, 0.680, 0.750)  0.65
Fe (0.160, 0.320, 0.250)  0.65